No. 1
In3OsCl | PBE-GGA | relaxed

Output
* energy above the most stable polymorph in this dataset: 1290 meV per atom
* ρ: 6.27 g cm⁻³
* crystal system: cubic
* energy relative to the elements, uncorrected: 6.2 eV/f.u.

The structure in CIF format:
```
data_In3OsCl
_chemical_formula_sum 'In3 Os1 Cl1'
_cell_length_a 5.3254
_cell_length_b 5.3254
_cell_length_c 5.3254
_cell_angle_alpha 90.00
_cell_angle_beta 90.00
_cell_angle_gamma 90.00
_symmetry_space_group_name_H-M 'P 1'
_symmetry_Int_Tables_number 1
loop_
_symmetry_equiv_pos_as_xyz
'x,y,z'
loop_
_atom_site_label
_atom_site_type_symbol
_atom_site_fract_x
_atom_site_fract_y
_atom_site_fract_z
In1 In 0.0000 0.0000 0.5000
In2 In 0.0000 0.5000 0.0000
In3 In 0.5000 0.0000 0.0000
Os1 Os 0.5000 0.5000 0.5000
Cl1 Cl 0.0000 0.0000 0.0000
```



No. 2
C3SeS | PBE-GGA | relaxed

Output
* energy above the most stable polymorph in this dataset: 0 meV per atom
* ρ: 4.94 g cm⁻³
* crystal system: cubic
* energy relative to the elements, uncorrected: 13.5 eV/f.u.

The structure in CIF format:
```
data_C3SeS
_chemical_formula_sum 'C3 Se1 S1'
_cell_length_a 3.6702
_cell_length_b 3.6702
_cell_length_c 3.6702
_cell_angle_alpha 90.00
_cell_angle_beta 90.00
_cell_angle_gamma 90.00
_symmetry_space_group_name_H-M 'P 1'
_symmetry_Int_Tables_number 1
loop_
_symmetry_equiv_pos_as_xyz
'x,y,z'
loop_
_atom_site_label
_atom_site_type_symbol
_atom_site_fract_x
_atom_site_fract_y
_atom_site_fract_z
C1 C 0.0000 0.0000 0.5000
C2 C 0.0000 0.5000 0.0000
C3 C 0.5000 0.0000 0.0000
Se1 Se 0.5000 0.5000 0.5000
S1 S 0.0000 0.0000 0.0000
```



No. 3
Ba4TlCd | PBE-GGA | relaxed

Output
* energy above the most stable polymorph in this dataset: 106 meV per atom
* DFT formation energy: -0.17 eV/atom
* ρ: 4.69 g cm⁻³
* crystal system: tetragonal

The structure in CIF format:
```
data_Ba4TlCd
_chemical_formula_sum 'Ba4 Tl1 Cd1'
_cell_length_a 5.9821
_cell_length_b 5.9821
_cell_length_c 8.5677
_cell_angle_alpha 90.00
_cell_angle_beta 90.00
_cell_angle_gamma 90.00
_symmetry_space_group_name_H-M 'P 1'
_symmetry_Int_Tables_number 1
loop_
_symmetry_equiv_pos_as_xyz
'x,y,z'
loop_
_atom_site_label
_atom_site_type_symbol
_atom_site_fract_x
_atom_site_fract_y
_atom_site_fract_z
Ba1 Ba 0.0000 0.5000 0.2444
Ba2 Ba 0.0000 0.5000 0.7556
Ba3 Ba 0.5000 0.0000 0.2444
Ba4 Ba 0.5000 0.0000 0.7556
Tl1 Tl 0.0000 0.0000 0.0000
Cd1 Cd 0.5000 0.5000 0.5000
```



No. 4
Th2PaSi3Ir12 | PBE-GGA | relaxed

Output
* ρ: 14.80 g cm⁻³
* crystal system: trigonal
* energy relative to the elements, uncorrected: -3.1 eV/f.u.

The structure in CIF format:
```
data_Th2PaSi3Ir12
_chemical_formula_sum 'Th2 Pa1 Si3 Ir12'
_cell_length_a 7.6398
_cell_length_b 7.6398
_cell_length_c 7.6398
_cell_angle_alpha 64.45
_cell_angle_beta 64.45
_cell_angle_gamma 64.45
_symmetry_space_group_name_H-M 'P 1'
_symmetry_Int_Tables_number 1
loop_
_symmetry_equiv_pos_as_xyz
'x,y,z'
loop_
_atom_site_label
_atom_site_type_symbol
_atom_site_fract_x
_atom_site_fract_y
_atom_site_fract_z
Th1 Th 0.0993 0.0993 0.0993
Th2 Th 0.9007 0.9007 0.9007
Pa1 Pa 0.5000 0.5000 0.5000
Si1 Si 0.0000 0.5000 0.5000
Si2 Si 0.5000 0.0000 0.5000
Si3 Si 0.5000 0.5000 0.0000
Ir1 Ir 0.1024 0.6493 0.6493
Ir2 Ir 0.1452 0.1452 0.5977
Ir3 Ir 0.1452 0.5977 0.1452
Ir4 Ir 0.3507 0.3507 0.8976
Ir5 Ir 0.3507 0.8976 0.3507
Ir6 Ir 0.4023 0.8548 0.8548
Ir7 Ir 0.5977 0.1452 0.1452
Ir8 Ir 0.6493 0.1024 0.6493
Ir9 Ir 0.6493 0.6493 0.1024
Ir10 Ir 0.8548 0.4023 0.8548
Ir11 Ir 0.8548 0.8548 0.4023
Ir12 Ir 0.8976 0.3507 0.3507
```



No. 5
NdSm7Tm12 | PBE-GGA | relaxed

Output
* energy above the most stable polymorph in this dataset: 373 meV per atom
* DFT formation energy: 0.67 eV/atom
* ρ: 7.67 g cm⁻³
* crystal system: cubic

The structure in CIF format:
```
data_NdSm7Tm12
_chemical_formula_sum 'Nd1 Sm7 Tm12'
_cell_length_a 9.6783
_cell_length_b 9.6783
_cell_length_c 9.6783
_cell_angle_alpha 109.47
_cell_angle_beta 109.47
_cell_angle_gamma 109.47
_symmetry_space_group_name_H-M 'P 1'
_symmetry_Int_Tables_number 1
loop_
_symmetry_equiv_pos_as_xyz
'x,y,z'
loop_
_atom_site_label
_atom_site_type_symbol
_atom_site_fract_x
_atom_site_fract_y
_atom_site_fract_z
Nd1 Nd 0.0000 0.0000 0.0000
Sm1 Sm 0.0000 0.0000 0.5000
Sm2 Sm 0.0000 0.5000 0.0000
Sm3 Sm 0.0000 0.5000 0.5000
Sm4 Sm 0.5000 0.0000 0.0000
Sm5 Sm 0.5000 0.0000 0.5000
Sm6 Sm 0.5000 0.5000 0.0000
Sm7 Sm 0.5000 0.5000 0.5000
Tm1 Tm 0.0000 0.2512 0.7488
Tm2 Tm 0.0000 0.7488 0.2512
Tm3 Tm 0.2512 0.0000 0.7488
Tm4 Tm 0.2512 0.2512 0.5025
Tm5 Tm 0.2512 0.5025 0.2512
Tm6 Tm 0.2512 0.7488 0.0000
Tm7 Tm 0.4975 0.7488 0.7488
Tm8 Tm 0.5025 0.2512 0.2512
Tm9 Tm 0.7488 0.0000 0.2512
Tm10 Tm 0.7488 0.2512 0.0000
Tm11 Tm 0.7488 0.4975 0.7488
Tm12 Tm 0.7488 0.7488 0.4975
```



No. 6
FeMo2PbBr | PBE-GGA | relaxed

Output
* ρ: 5.10 g cm⁻³
* crystal system: tetragonal
* energy relative to the elements, uncorrected: 11.9 eV/f.u.

The structure in CIF format:
```
data_FeMo2PbBr
_chemical_formula_sum 'Fe1 Mo2 Pb1 Br1'
_cell_length_a 5.5412
_cell_length_b 5.5412
_cell_length_c 5.6701
_cell_angle_alpha 90.00
_cell_angle_beta 90.00
_cell_angle_gamma 90.00
_symmetry_space_group_name_H-M 'P 1'
_symmetry_Int_Tables_number 1
loop_
_symmetry_equiv_pos_as_xyz
'x,y,z'
loop_
_atom_site_label
_atom_site_type_symbol
_atom_site_fract_x
_atom_site_fract_y
_atom_site_fract_z
Fe1 Fe 0.0000 0.0000 0.0000
Mo1 Mo 0.0000 0.5000 0.5000
Mo2 Mo 0.5000 0.0000 0.5000
Pb1 Pb 0.5000 0.5000 0.5000
Br1 Br 0.5000 0.5000 0.0000
```



No. 7
PmIn3Hg4 | PBE-GGA | relaxed

Output
* DFT formation energy: -0.20 eV/atom
* ρ: 10.51 g cm⁻³
* crystal system: tetragonal

The structure in CIF format:
```
data_PmIn3Hg4
_chemical_formula_sum 'Pm1 In3 Hg4'
_cell_length_a 4.9992
_cell_length_b 4.9992
_cell_length_c 8.1700
_cell_angle_alpha 90.00
_cell_angle_beta 90.00
_cell_angle_gamma 90.00
_symmetry_space_group_name_H-M 'P 1'
_symmetry_Int_Tables_number 1
loop_
_symmetry_equiv_pos_as_xyz
'x,y,z'
loop_
_atom_site_label
_atom_site_type_symbol
_atom_site_fract_x
_atom_site_fract_y
_atom_site_fract_z
Pm1 Pm 0.0000 0.0000 0.0000
In1 In 0.0000 0.0000 0.5000
In2 In 0.5000 0.5000 0.0000
In3 In 0.5000 0.5000 0.5000
Hg1 Hg 0.0000 0.5000 0.2531
Hg2 Hg 0.0000 0.5000 0.7469
Hg3 Hg 0.5000 0.0000 0.2531
Hg4 Hg 0.5000 0.0000 0.7469
```



No. 8
Tl2PbI2F2 | PBE-GGA | relaxed

Output
* ρ: 6.80 g cm⁻³
* crystal system: tetragonal
* energy relative to the elements, uncorrected: -9.4 eV/f.u.

The structure in CIF format:
```
data_Tl2PbI2F2
_chemical_formula_sum 'Tl2 Pb1 I2 F2'
_cell_length_a 9.8881
_cell_length_b 9.8881
_cell_length_c 9.8881
_cell_angle_alpha 151.37
_cell_angle_beta 151.37
_cell_angle_gamma 40.94
_symmetry_space_group_name_H-M 'P 1'
_symmetry_Int_Tables_number 1
loop_
_symmetry_equiv_pos_as_xyz
'x,y,z'
loop_
_atom_site_label
_atom_site_type_symbol
_atom_site_fract_x
_atom_site_fract_y
_atom_site_fract_z
Tl1 Tl 0.1285 0.1285 0.0000
Tl2 Tl 0.8715 0.8715 0.0000
Pb1 Pb 0.5000 0.5000 0.0000
I1 I 0.3222 0.3222 0.0000
I2 I 0.6778 0.6778 0.0000
F1 F 0.0000 0.5000 0.5000
F2 F 0.5000 0.0000 0.5000
```



No. 9
Rb2LiNiH6 | PBE-GGA | relaxed

Output
* VASP energy: -3.19 eV per atom
* ρ: 2.74 g cm⁻³
* crystal system: trigonal

The structure in CIF format:
```
data_Rb2LiNiH6
_chemical_formula_sum 'Rb2 Li1 Ni1 H6'
_cell_length_a 5.9296
_cell_length_b 5.9296
_cell_length_c 4.8256
_cell_angle_alpha 90.00
_cell_angle_beta 90.00
_cell_angle_gamma 120.00
_symmetry_space_group_name_H-M 'P 1'
_symmetry_Int_Tables_number 1
loop_
_symmetry_equiv_pos_as_xyz
'x,y,z'
loop_
_atom_site_label
_atom_site_type_symbol
_atom_site_fract_x
_atom_site_fract_y
_atom_site_fract_z
Rb1 Rb 0.3333 0.6667 0.2362
Rb2 Rb 0.6667 0.3333 0.7638
Li1 Li 0.0000 0.0000 0.5000
Ni1 Ni 0.0000 0.0000 0.0000
H1 H 0.1250 0.2501 0.8058
H2 H 0.1250 0.8750 0.8058
H3 H 0.2501 0.1250 0.1942
H4 H 0.7499 0.8750 0.8058
H5 H 0.8750 0.1250 0.1942
H6 H 0.8750 0.7499 0.1942
```



No. 10
Pr5Nd4Er4 | PBE-GGA | relaxed

Output
* DFT formation energy: 0.02 eV/atom
* ρ: 7.29 g cm⁻³
* crystal system: monoclinic

The structure in CIF format:
```
data_Pr5Nd4Er4
_chemical_formula_sum 'Pr5 Nd4 Er4'
_cell_length_a 9.6436
_cell_length_b 9.6436
_cell_length_c 13.1456
_cell_angle_alpha 132.93
_cell_angle_beta 132.93
_cell_angle_gamma 30.88
_symmetry_space_group_name_H-M 'P 1'
_symmetry_Int_Tables_number 1
loop_
_symmetry_equiv_pos_as_xyz
'x,y,z'
loop_
_atom_site_label
_atom_site_type_symbol
_atom_site_fract_x
_atom_site_fract_y
_atom_site_fract_z
Pr1 Pr 0.0000 0.0000 0.0000
Pr2 Pr 0.3076 0.3076 0.7668
Pr3 Pr 0.4591 0.4591 0.1516
Pr4 Pr 0.5409 0.5409 0.8484
Pr5 Pr 0.6924 0.6924 0.2332
Nd1 Nd 0.0769 0.0769 0.6937
Nd2 Nd 0.3831 0.3831 0.4600
Nd3 Nd 0.6169 0.6169 0.5400
Nd4 Nd 0.9231 0.9231 0.3063
Er1 Er 0.1548 0.1548 0.3870
Er2 Er 0.2323 0.2323 0.0775
Er3 Er 0.7677 0.7677 0.9225
Er4 Er 0.8452 0.8452 0.6130
```



No. 11
Li2LaCo | PBE-GGA | relaxed

Output
* energy above the most stable polymorph in this dataset: 212 meV per atom
* DFT formation energy: 0.34 eV/atom
* ρ: 4.96 g cm⁻³
* crystal system: cubic

The structure in CIF format:
```
data_Li2LaCo
_chemical_formula_sum 'Li2 La1 Co1'
_cell_length_a 4.6467
_cell_length_b 4.6467
_cell_length_c 4.6467
_cell_angle_alpha 60.00
_cell_angle_beta 60.00
_cell_angle_gamma 60.00
_symmetry_space_group_name_H-M 'P 1'
_symmetry_Int_Tables_number 1
loop_
_symmetry_equiv_pos_as_xyz
'x,y,z'
loop_
_atom_site_label
_atom_site_type_symbol
_atom_site_fract_x
_atom_site_fract_y
_atom_site_fract_z
Li1 Li 0.2500 0.2500 0.2500
Li2 Li 0.7500 0.7500 0.7500
La1 La 0.0000 0.0000 0.0000
Co1 Co 0.5000 0.5000 0.5000
```



No. 12
CrIrCl2 | PBE-GGA | relaxed

Output
* energy above the most stable polymorph in this dataset: 472 meV per atom
* ρ: 8.63 g cm⁻³
* crystal system: trigonal
* energy relative to the elements, uncorrected: 1.2 eV/f.u.

The structure in CIF format:
```
data_CrIrCl2
_chemical_formula_sum 'Cr1 Ir1 Cl2'
_cell_length_a 7.9565
_cell_length_b 7.9565
_cell_length_c 7.9565
_cell_angle_alpha 21.76
_cell_angle_beta 21.76
_cell_angle_gamma 21.76
_symmetry_space_group_name_H-M 'P 1'
_symmetry_Int_Tables_number 1
loop_
_symmetry_equiv_pos_as_xyz
'x,y,z'
loop_
_atom_site_label
_atom_site_type_symbol
_atom_site_fract_x
_atom_site_fract_y
_atom_site_fract_z
Cr1 Cr 0.0000 0.0000 0.0000
Ir1 Ir 0.5000 0.5000 0.5000
Cl1 Cl 0.4006 0.4006 0.4006
Cl2 Cl 0.5994 0.5994 0.5994
```